Record 1
{"formula": "Sm2Ni3", "functional": "GGA-PBE", "state": "relaxed", "m_tot_mub_per_cell": 0.000, "formation_energy_mev_per_atom": -354, "lattice": [[-0.1097, 3.4889, -1.7852], [-3.4941, -0.9965, -1.7329], [-6.0363, 2.9631, 10.4675]], "species": ["Sm", "Sm", "Sm", "Sm", "Ni", "Ni", "Ni", "Ni", "Ni", "Ni"], "fractional_positions": [[0.4301, 0.2500, 0.8602], [0.2982, 0.7500, 0.5963], [0.7018, 0.2500, 0.4037], [0.5699, 0.7500, 0.1398], [0.9761, 0.7500, 0.9522], [0.1183, 0.2500, 0.2366], [0.1719, 0.7500, 0.3437], [0.8817, 0.7500, 0.7634], [0.8281, 0.2500, 0.6563], [0.0239, 0.2500, 0.0478]]}


Record 2
{"formula": "ErPaAgPb", "functional": "GGA-PBE", "state": "relaxed", "m_tot_mub_per_cell": 2.589, "formation_energy_mev_per_atom": 42, "lattice": [[-4.8951, -0.8084, 1.8458], [-1.0327, -4.2412, 2.9947], [-1.0129, 0.5882, 5.1624]], "species": ["Pa", "Pb", "Er", "Ag"], "fractional_positions": [[0.5000, 0.5000, 0.5000], [0.2500, 0.2500, 0.2500], [0.0000, 0.0000, 0.0000], [0.7500, 0.7500, 0.7500]]}